Entry from Alexandria: a relaxed structure of LiMn2Ag (GGA-PBEsol).

* ΔH_f (0 K): 458 meV per atom
* size of the total moment: 7.45 μB/f.u.

Unit cell a=3.7819 b=3.7819 c=4.0397 alpha=90.00 beta=90.00 gamma=90.00
Closest atoms and distances in Å follow each position.
Space group P4/mmm (No. 123)
Symmetry-distinct sites (fractional):
Li (0.0000, 0.0000, 0.0000)  4 Ag 2.67, 8 Mn 2.77
Mn (0.0000, 0.5000, 0.5000)  4 Mn 2.67, 4 Ag 2.77, 4 Li 2.77
Ag (0.5000, 0.5000, 0.0000)  4 Li 2.67, 8 Mn 2.77



Entry from Alexandria: a relaxed structure of LiMnAg2 (GGA-PBEsol).

* ΔH_f (0 K): 241 meV per atom
* size of the total moment: 3.90 μB/f.u.

Unit cell a=2.8034 b=2.8034 c=8.0619 alpha=90.00 beta=90.00 gamma=90.00
Closest atoms and distances in Å follow each position.
Space group P4mm (No. 99)
Symmetry-distinct sites (fractional):
Li (0.0000, 0.0000, 0.0000)  4 Ag 2.76, 4 Li 2.80, 4 Mn 2.88
Mn (0.5000, 0.5000, 0.2590)  4 Ag 2.77, 4 Mn 2.80, 4 Li 2.88
Ag (0.0000, 0.0000, 0.4997)  4 Mn 2.77, 8 Ag 2.80-2.89
Ag (0.5000, 0.5000, 0.7613)  4 Li 2.76, 8 Ag 2.80-2.89



Entry from Alexandria: a relaxed structure of LiMn2Ag (GGA-PBEsol).

* ΔH_f (0 K): 559 meV per atom
* size of the total moment: 0.00 μB/f.u.

Unit cell a=4.5563 b=8.7168 c=2.4608 alpha=90.00 beta=90.00 gamma=90.00
Closest atoms and distances in Å follow each position.
Space group Cmmm (No. 65)
Symmetry-distinct sites (fractional):
Li (0.0000, 0.0000, 0.0000)  2 Ag 2.28, 2 Li 2.46
Mn (0.2500, 0.2500, 0.5000)  4 Mn 2.28-2.46
Ag (0.0000, 0.5000, 0.0000)  2 Li 2.28, 2 Ag 2.46



Entry from Alexandria: a relaxed structure of LiMn2Ag (GGA-PBEsol).

* ΔH_f (0 K): 454 meV per atom
* size of the total moment: 0.00 μB/f.u.

Unit cell a=9.4771 b=2.8897 c=3.7059 alpha=90.00 beta=109.61 gamma=90.00
Closest atoms and distances in Å follow each position.
Space group C2/m (No. 12)
Symmetry-distinct sites (fractional):
Li (0.0000, 0.0000, 0.0000)  4 Ag 2.35
Mn (0.2478, 0.5000, 0.2209)  2 Mn 2.19
Ag (0.0000, 0.5000, 0.5000)  4 Li 2.35



Entry from Alexandria: a relaxed structure of LiMnAg2 (GGA-PBEsol).

* ΔH_f (0 K): 146 meV per atom
* size of the total moment: 3.85 μB/f.u.

Unit cell a=9.3909 b=2.8194 c=4.7315 alpha=90.00 beta=99.89 gamma=90.00
Closest atoms and distances in Å follow each position.
Space group Cm (No. 8)
Symmetry-distinct sites (fractional):
Li (0.0000, 0.0000, 0.0000)  7 Ag 2.71-2.76, 2 Li 2.82, 3 Mn 2.87-2.94
Mn (0.2418, 0.0000, 0.7032)  7 Ag 2.72-2.76, 2 Mn 2.82, 3 Li 2.87-2.94
Ag (0.2479, 0.5000, 0.2038)  3 Li 2.71-2.75, 4 Mn 2.75-2.76, 5 Ag 2.82-2.94
Ag (0.4971, 0.0000, 0.5013)  3 Mn 2.72-2.73, 4 Li 2.74-2.76, 5 Ag 2.82-2.94



Entry from Alexandria: a relaxed structure of Li2MnAg (GGA-PBEsol).

* ΔH_f (0 K): 217 meV per atom
* size of the total moment: 3.42 μB/f.u.

Unit cell a=2.7787 b=2.7787 c=27.1804 alpha=90.00 beta=90.00 gamma=120.00
Closest atoms and distances in Å follow each position.
Space group R-3m (No. 166, hexagonal axes)
Symmetry-distinct sites (fractional):
Li (0.0000, 0.0000, 0.2504)  3 Ag 2.77, 6 Li 2.78, 3 Mn 2.78
Mn (0.0000, 0.0000, 0.5000)  6 Mn 2.78, 6 Li 2.78
Ag (0.0000, 0.0000, 0.0000)  6 Li 2.77, 6 Ag 2.78



Entry from Alexandria: a relaxed structure of LiMnAg2 (GGA-PBEsol).

* ΔH_f (0 K): 135 meV per atom
* size of the total moment: 4.11 μB/f.u.

Unit cell a=3.1172 b=3.1172 c=6.2964 alpha=90.00 beta=90.00 gamma=90.00
Closest atoms and distances in Å follow each position.
Space group P4/mmm (No. 123)
Symmetry-distinct sites (fractional):
Li (0.0000, 0.0000, 0.0000)  8 Ag 2.69
Mn (0.0000, 0.0000, 0.5000)  8 Ag 2.73
Ag (0.5000, 0.5000, 0.2437)  4 Li 2.69, 4 Mn 2.73



Entry from Alexandria: a relaxed structure of Li2MnAg (GGA-PBEsol).

* ΔH_f (0 K): 206 meV per atom
* size of the total moment: 3.92 μB/f.u.

Unit cell a=3.9837 b=3.9837 c=7.5891 alpha=90.00 beta=90.00 gamma=90.00
Closest atoms and distances in Å follow each position.
Space group I-4m2 (No. 119)
Symmetry-distinct sites (fractional):
Li (0.0000, 0.0000, 0.0000)  4 Mn 2.75, 4 Li 2.75, 4 Ag 2.82
Li (0.0000, 0.5000, 0.2500)  4 Li 2.75, 4 Ag 2.75, 4 Mn 2.82
Mn (0.0000, 0.5000, 0.7500)  8 Li 2.75-2.82, 4 Ag 2.75
Ag (0.0000, 0.0000, 0.5000)  4 Mn 2.75, 8 Li 2.75-2.82



Entry from Alexandria: a relaxed structure of LiMnAgRu2 (GGA-PBEsol).

* ΔH_f (0 K): 1126 meV per atom
* size of the total moment: 0.94 μB/f.u.

Unit cell a=4.2858 b=4.2858 c=4.8523 alpha=90.00 beta=90.00 gamma=90.00
Closest atoms and distances in Å follow each position.
Space group P4/mmm (No. 123)
Symmetry-distinct sites (fractional):
Li (0.0000, 0.0000, 0.0000)  4 Ag 3.03, 8 Ru 3.24
Mn (0.5000, 0.5000, 0.5000)  4 Ru 2.14
Ag (0.5000, 0.5000, 0.0000)  2 Mn 2.43
Ru (0.0000, 0.5000, 0.5000)  2 Mn 2.14



Entry from Alexandria: a relaxed structure of Li2MnAgTe (GGA-PBEsol).

* formation energy without anion corrections: 0.235 eV/atom
* size of the total moment: 4.37 μB/f.u.

Unit cell a=4.6542 b=4.6542 c=4.9605 alpha=90.00 beta=90.00 gamma=90.00
Closest atoms and distances in Å follow each position.
Space group P4/mmm (No. 123)
Symmetry-distinct sites (fractional):
Li (0.0000, 0.5000, 0.0000)  2 Ag 2.33
Mn (0.0000, 0.0000, 0.5000)  2 Ag 2.48
Ag (0.0000, 0.0000, 0.0000)  4 Li 2.33, 2 Mn 2.48
Te (0.5000, 0.5000, 0.5000)  4 Mn 3.29, 8 Li 3.40



Entry from Alexandria: a relaxed structure of LiMnTl2Ag (GGA-PBEsol).

* ΔH_f (0 K): 674 meV per atom
* size of the total moment: 4.52 μB/f.u.

Unit cell a=5.2599 b=5.2599 c=4.6523 alpha=90.00 beta=90.00 gamma=90.00
Closest atoms and distances in Å follow each position.
Space group P4/mmm (No. 123)
Symmetry-distinct sites (fractional):
Li (0.0000, 0.0000, 0.0000)  2 Ag 2.33
Mn (0.5000, 0.5000, 0.0000)  8 Tl 3.51, 4 Li 3.72
Tl (0.0000, 0.5000, 0.5000)  2 Ag 2.63
Ag (0.0000, 0.0000, 0.5000)  2 Li 2.33



Entry from Alexandria: a relaxed structure of LiAg2Mo (GGA-PBEsol).

* relative energy among the computed polymorphs: 5.32 kcal/mol of atoms
* ΔH_f (0 K): 536 meV per atom
* size of the total moment: 0.00 μB/f.u.

Unit cell a=2.6843 b=4.8193 c=9.4284 alpha=90.00 beta=90.00 gamma=90.00
Closest atoms and distances in Å follow each position.
Space group Immm (No. 71)
Symmetry-distinct sites (fractional):
Li (0.0000, 0.0000, 0.0000)  4 Ag 2.58, 2 Li 2.68, 4 Mo 2.76
Ag (0.0000, 0.5000, 0.2665)  2 Li 2.58, 6 Ag 2.68-2.78, 2 Mo 2.85
Mo (0.0000, 0.0000, 0.5000)  2 Mo 2.68, 4 Li 2.76, 4 Ag 2.85



Entry from Alexandria: a relaxed structure of LiAg2Mo (GGA-PBEsol).

* relative energy among the computed polymorphs: 6.08 kcal/mol of atoms
* ΔH_f (0 K): 569 meV per atom
* size of the total moment: 0.70 μB/f.u.

Unit cell a=4.4509 b=4.4509 c=6.3166 alpha=90.00 beta=90.00 gamma=90.00
Closest atoms and distances in Å follow each position.
Space group I4/mmm (No. 139)
Symmetry-distinct sites (fractional):
Li (0.0000, 0.0000, 0.0000)  8 Ag 2.73
Ag (0.0000, 0.5000, 0.2500)  4 Mo 2.73, 4 Li 2.73
Mo (0.0000, 0.0000, 0.5000)  8 Ag 2.73



Entry from Alexandria: a relaxed structure of Li4AgMo (GGA-PBEsol).

* ΔH_f (0 K): 502 meV per atom
* size of the total moment: 2.62 μB/f.u.

Unit cell a=7.0218 b=7.0218 c=7.0218 alpha=90.00 beta=90.00 gamma=90.00
Closest atoms and distances in Å follow each position.
Space group F-43m (No. 216)
Symmetry-distinct sites (fractional):
Li (0.1249, 0.1249, 0.1249)  6 Li 2.48-2.49
Ag (0.0000, 0.0000, 0.5000)  12 Li 2.91, 4 Mo 3.04
Mo (0.2500, 0.2500, 0.7500)  12 Li 2.91, 4 Ag 3.04



Entry from Alexandria: a relaxed structure of LiAg2Mo (GGA-PBEsol).

* relative energy among the computed polymorphs: 5.22 kcal/mol of atoms
* ΔH_f (0 K): 532 meV per atom
* size of the total moment: 0.00 μB/f.u.

Unit cell a=2.6767 b=4.8447 c=4.8680 alpha=90.00 beta=90.00 gamma=90.00
Closest atoms and distances in Å follow each position.
Space group Pmmm (No. 47)
Symmetry-distinct sites (fractional):
Li (0.0000, 0.0000, 0.0000)  2 Li 2.68, 4 Ag 2.77, 4 Mo 2.78
Ag (0.0000, 0.5000, 0.5000)  6 Ag 2.68-2.78, 4 Mo 2.77
Ag (0.5000, 0.5000, 0.0000)  6 Ag 2.68-2.78, 4 Li 2.77
Mo (0.5000, 0.0000, 0.5000)  2 Mo 2.68, 4 Ag 2.77, 4 Li 2.78



Entry from Alexandria: a relaxed structure of LiAg2Mo (GGA-PBEsol).

* relative energy among the computed polymorphs: 0.00 kcal/mol of atoms
* ΔH_f (0 K): 305 meV per atom
* size of the total moment: 0.00 μB/f.u.

Unit cell a=6.3011 b=7.5969 c=2.6522 alpha=90.00 beta=90.00 gamma=90.00
Closest atoms and distances in Å follow each position.
Space group Cmmm (No. 65)
Symmetry-distinct sites (fractional):
Li (0.0000, 0.0000, 0.0000)  2 Li 2.65, 8 Ag 2.80
Ag (0.2500, 0.2500, 0.5000)  2 Ag 2.65, 4 Mo 2.80, 4 Li 2.80
Mo (0.0000, 0.5000, 0.0000)  2 Mo 2.65, 8 Ag 2.80